VASP calculation (GGA-PBE) on an optimized crystal structure of CrFeNi14.

Cell and atoms, written as POSCAR:
```
CrFeNi14
1.0
-0.027 -0.108 5.002
-4.944 -0.765 -0.043
1.073 -6.928 -0.144
Cr Fe Ni
1 1 14
direct
0.875 0.875 0.500
0.375 0.375 0.500
0.875 0.875 0.000
0.375 0.375 0.000
0.875 0.375 0.500
0.875 0.375 0.000
0.375 0.875 0.500
0.375 0.875 0.000
0.626 0.124 0.251
0.626 0.124 0.749
0.124 0.626 0.251
0.124 0.626 0.749
0.626 0.626 0.251
0.626 0.626 0.749
0.124 0.124 0.251
0.124 0.124 0.749
```

Summary:
* ρ: 8.79 g/cm3

VASP calculation (GGA-PBE) on an optimized crystal structure of Cr2FeNi.

Cell and atoms, written as POSCAR:
```
Cr2FeNi
1.0
-4.037 0.995 1.206
-1.469 -2.976 2.781
3.650 2.326 -0.091
Cr Fe Ni
2 1 1
direct
0.000 0.000 0.000
0.500 0.500 0.000
0.250 0.750 0.500
0.750 0.250 0.500
```

Summary:
* ρ: 8.25 g/cm3
* distance to the lowest polymorph of the same formula: 14 meV/atom

VASP calculation (GGA-PBE) on an optimized crystal structure of CrFe2Ni.

Cell and atoms, written as POSCAR:
```
CrFe2Ni
1.0
-1.596 1.519 1.047
-1.486 -1.880 0.463
3.414 -1.045 6.719
Cr Fe Ni
1 2 1
direct
0.500 0.500 0.742
0.000 0.000 0.000
0.500 0.500 0.257
0.000 0.000 0.501
```

Summary:
* ρ: 8.15 g/cm3

Energy of formation from the pure elements
In order: -0.05 0.26 0.25
Unit: eV per formula unit